Entry 1:
Computed, not measured: a geometry-optimized Cs2SnTe structure at the PBE level of DFT.

Summary:
Raw formation energy in meV per atom: -302

a b c (Å): 3.5047 5.9665 11.0010
angles (deg): 89.98 89.98 54.25
Atoms (fractional coordinates):
Sn (0.4676, 0.1157, 0.4496)
Te (0.4611, 0.1157, 0.9497)
Cs (0.4621, 0.6156, 0.7335)
Cs (0.4618, 0.6154, 0.1659)



Entry 2:
Computed, not measured: a geometry-optimized Hf2Pd2Au structure at the PBE level of DFT.

Summary:
Formation enthalpy at 0 K in eV per atom: -0.6443

a b c (Å): 7.4163 7.4163 3.3571
angles (deg): 90.00 90.00 90.00
Atoms (fractional coordinates):
Pd (0.8713, 0.6287, 0.0000)
Pd (0.1287, 0.3713, 0.0000)
Pd (0.6287, 0.1287, 0.0000)
Pd (0.3713, 0.8713, 0.0000)
Hf (0.6732, 0.8268, 0.5000)
Hf (0.1732, 0.6732, 0.5000)
Hf (0.8268, 0.3268, 0.5000)
Hf (0.3268, 0.1732, 0.5000)
Au (0.0000, 0.0000, 0.0000)
Au (0.5000, 0.5000, 0.0000)



Entry 3:
Computed, not measured: a geometry-optimized TcAs3Pd structure at the PBE level of DFT.

Summary:
Formation enthalpy at 0 K in eV per atom: 0.5822

a b c (Å): 4.7778 4.7778 4.7778
angles (deg): 90.00 90.00 90.00
Atoms (fractional coordinates):
As (0.0000, 0.5000, 0.0000)
As (0.5000, 0.0000, 0.0000)
As (0.0000, 0.0000, 0.5000)
Tc (0.0000, 0.0000, 0.0000)
Pd (0.5000, 0.5000, 0.5000)



| no. | energy (eV per cell) | calculated volume (Å³ per atom) |
| --- | --- | --- |
| 1 | -10.061 | 46.7 |
| 2 | -73.583 | 18.5 |
| 3 | -26.597 | 21.8 |